VASP calculation (PBE) on a geometry-optimized Pm2PrAl2In2 structure.

Values from the calculation:
Total DFT energy (no corrections) ... -4.176 eV per atom
Total magnetic moment ... 0.0 μB/cell
Symmetry ... R-3m
ΔE_f ... -0.284 eV per atom
V ... 27.15 Å³ per atom

Lattice parameters (Å, degrees): 4.727 4.727 10.192 76.59 76.59 60.00
Fractional coordinates of all 7 atoms:
Pm 0.130 0.130 0.609
Pm 0.870 0.870 0.391
Pr 0.000 0.000 0.000
Al 0.599 0.599 0.204
Al 0.401 0.401 0.796
In 0.740 0.740 0.780
In 0.260 0.260 0.220

***

VASP calculation (PBE) on a geometry-optimized Ac8Ge5Rh structure.

Values from the calculation:
Total DFT energy (no corrections) ... -5.186 eV per atom
Total magnetic moment ... 0.0 μB/cell
Symmetry ... I-4
ΔE_f ... -0.665 eV per atom
V ... 32.75 Å³ per atom

Lattice parameters (Å, degrees): 8.414 8.414 8.414 109.99 108.44 109.99
Fractional coordinates of all 14 atoms:
Ac 0.130 0.739 0.993
Ac 0.007 0.138 0.746
Ac 0.751 0.251 0.371
Ac 0.629 0.380 0.881
Ac 0.501 0.620 0.249
Ac 0.609 0.862 0.870
Ac 0.254 0.261 0.391
Ac 0.119 0.749 0.499
Ge 0.995 0.368 0.124
Ge 0.876 0.871 0.245
Ge 0.755 0.632 0.626
Ge 0.500 0.000 0.500
Ge 0.374 0.129 0.005
Rh 0.250 0.500 0.750

***

VASP calculation (PBE) on a geometry-optimized TaBeAs2 structure.

Values from the calculation:
Total DFT energy (no corrections) ... -6.220 eV per atom
Total magnetic moment ... 0.0 μB/cell
Symmetry ... Immm
ΔE_f ... 0.000 eV per atom
V ... 15.06 Å³ per atom

Lattice parameters (Å, degrees): 4.797 4.797 4.797 139.12 121.49 73.83
Fractional coordinates of all 4 atoms:
Be 0.250 0.750 0.500
As 0.039 0.039 0.000
As 0.461 0.461 0.000
Ta 0.750 0.250 0.500

***

VASP calculation (PBE) on a geometry-optimized Tl3BF structure.

Values from the calculation:
Total DFT energy (no corrections) ... -3.030 eV per atom
Total magnetic moment ... 0.0 μB/cell
Symmetry ... Pm-3m
Energy relative to the elements, uncorrected ... 0.100 eV per atom
V ... 24.43 Å³ per atom

Lattice parameters (Å, degrees): 4.962 4.962 4.962 90.00 90.00 90.00
Fractional coordinates of all 5 atoms:
Tl 0.000 0.500 0.000
Tl 0.000 0.000 0.500
Tl 0.500 0.000 0.000
B 0.000 0.000 0.000
F 0.500 0.500 0.500